1.
Here is a relaxed structure of InHg3Ge from Alexandria via LeMat-Bulk. Energies are from GGA-PBE.

Summary:
Excess energy over the best structure of this formula in the dataset = 0.352 eV/atom
SG = No. 221

abc: 5.520 5.520 5.520
angles: 90.00 90.00 90.00
Element x y z (fractional)
In 0.000 0.000 0.000
Hg 0.000 0.000 0.500
Hg 0.000 0.500 0.000
Hg 0.500 0.000 0.000
Ge 0.500 0.500 0.500

---

2.
Here is a relaxed structure of InHg2Ge from Alexandria via LeMat-Bulk. Energies are from GGA-PBE.

Summary:
DFT total energy = -0.066 Ha/atom
SG = No. 8

abc: 4.278 4.278 7.095
angles: 107.14 107.14 59.24
Element x y z (fractional)
In 0.000 0.000 0.000
Hg 0.418 0.418 0.263
Hg 0.580 0.580 0.737
Ge 0.166 0.166 0.499

---

3.
Here is a relaxed structure of InHgGe2 from Alexandria via LeMat-Bulk. Energies are from GGA-PBE.

Summary:
Excess energy over the best structure of this formula in the dataset = 0.055 eV/atom
SG = No. 225

abc: 5.046 5.046 5.046
angles: 60.00 60.00 60.00
Element x y z (fractional)
In 0.000 0.000 0.000
Hg 0.500 0.500 0.500
Ge 0.250 0.250 0.250
Ge 0.750 0.750 0.750

---

4.
Here is a relaxed structure of InHg2Ge from Alexandria via LeMat-Bulk. Energies are from GGA-PBE.

Summary:
DFT total energy = -0.067 Ha/atom
SG = No. 122

abc: 11.477 11.477 11.477
angles: 158.63 158.63 30.41
Element x y z (fractional)
In 0.000 0.000 0.000
In 0.750 0.250 0.500
Hg 0.130 0.625 0.005
Hg 0.375 0.380 0.505
Hg 0.620 0.125 0.995
Hg 0.875 0.870 0.495
Ge 0.250 0.750 0.500
Ge 0.500 0.500 0.000

---

5.
Here is a relaxed structure of In15Hg4Ge from Alexandria via LeMat-Bulk. Energies are from GGA-PBE.

Summary:
DFT total energy = -0.085 Ha/atom
SG = No. 123

abc: 4.737 4.737 23.381
angles: 90.00 90.00 90.00
Element x y z (fractional)
In 0.000 0.000 0.000
In 0.000 0.000 0.196
In 0.000 0.000 0.398
In 0.000 0.000 0.602
In 0.000 0.000 0.804
In 0.000 0.500 0.095
In 0.000 0.500 0.296
In 0.000 0.500 0.500
In 0.000 0.500 0.704
In 0.000 0.500 0.905
In 0.500 0.000 0.095
In 0.500 0.000 0.296
In 0.500 0.000 0.500
In 0.500 0.000 0.704
In 0.500 0.000 0.905
Hg 0.500 0.500 0.197
Hg 0.500 0.500 0.396
Hg 0.500 0.500 0.604
Hg 0.500 0.500 0.803
Ge 0.500 0.500 0.000

---

6.
Here is a relaxed structure of In2Hg2Ge from Alexandria via LeMat-Bulk. Energies are from GGA-PBE.

Summary:
Excess energy over the best structure of this formula in the dataset = 0.066 eV/atom
SG = No. 139

abc: 8.548 8.548 8.548
angles: 152.29 152.29 39.59
Element x y z (fractional)
In 0.093 0.093 0.000
In 0.907 0.907 0.000
Hg 0.250 0.750 0.500
Hg 0.750 0.250 0.500
Ge 0.500 0.500 0.000

---

7.
Here is a relaxed structure of In5Hg12Ge3 from Alexandria via LeMat-Bulk. Energies are from GGA-PBE.

Summary:
DFT total energy = -0.050 Ha/atom
SG = No. 230

abc: 14.644 14.644 14.644
angles: 109.47 109.47 109.47
Element x y z (fractional)
In 0.000 0.000 0.000
In 0.000 0.000 0.500
In 0.000 0.500 0.000
In 0.000 0.500 0.500
In 0.125 0.750 0.875
In 0.125 0.875 0.250
In 0.250 0.125 0.875
In 0.250 0.625 0.375
In 0.375 0.250 0.625
In 0.375 0.625 0.750
In 0.500 0.000 0.000
In 0.500 0.000 0.500
In 0.500 0.500 0.000
In 0.500 0.500 0.500
In 0.625 0.375 0.250
In 0.625 0.750 0.375
In 0.750 0.375 0.625
In 0.750 0.875 0.125
In 0.875 0.125 0.750
In 0.875 0.250 0.125
Hg 0.064 0.634 0.394
Hg 0.064 0.931 0.671
Hg 0.069 0.240 0.134
Hg 0.069 0.329 0.936
Hg 0.106 0.740 0.671
Hg 0.106 0.866 0.436
Hg 0.134 0.069 0.240
Hg 0.134 0.564 0.894
Hg 0.171 0.240 0.606
Hg 0.171 0.431 0.564
Hg 0.240 0.134 0.069
Hg 0.240 0.606 0.171
Hg 0.260 0.329 0.894
Hg 0.260 0.431 0.366
Hg 0.329 0.894 0.260
Hg 0.329 0.936 0.069
Hg 0.366 0.260 0.431
Hg 0.366 0.606 0.936
Hg 0.394 0.064 0.634
Hg 0.394 0.829 0.760
Hg 0.431 0.366 0.260
Hg 0.431 0.564 0.171
Hg 0.436 0.106 0.866
Hg 0.436 0.829 0.569
Hg 0.564 0.171 0.431
Hg 0.564 0.894 0.134
Hg 0.569 0.436 0.829
Hg 0.569 0.634 0.740
Hg 0.606 0.171 0.240
Hg 0.606 0.936 0.366
Hg 0.634 0.394 0.064
Hg 0.634 0.740 0.569
Hg 0.671 0.064 0.931
Hg 0.671 0.106 0.740
Hg 0.740 0.569 0.634
Hg 0.740 0.671 0.106
Hg 0.760 0.394 0.829
Hg 0.760 0.866 0.931
Hg 0.829 0.569 0.436
Hg 0.829 0.760 0.394
Hg 0.866 0.436 0.106
Hg 0.866 0.931 0.760
Hg 0.894 0.134 0.564
Hg 0.894 0.260 0.329
Hg 0.931 0.671 0.064
Hg 0.931 0.760 0.866
Hg 0.936 0.069 0.329
Hg 0.936 0.366 0.606
Ge 0.125 0.250 0.375
Ge 0.125 0.375 0.750
Ge 0.250 0.375 0.125
Ge 0.250 0.875 0.625
Ge 0.375 0.125 0.250
Ge 0.375 0.750 0.125
Ge 0.625 0.250 0.875
Ge 0.625 0.875 0.750
Ge 0.750 0.125 0.375
Ge 0.750 0.625 0.875
Ge 0.875 0.625 0.250
Ge 0.875 0.750 0.625

---

8.
Here is a relaxed structure of InHg2Ge2 from Alexandria via LeMat-Bulk. Energies are from GGA-PBE.

Summary:
Excess energy over the best structure of this formula in the dataset = 0.042 eV/atom
SG = No. 127

abc: 8.716 8.716 3.169
angles: 90.00 90.00 90.00
Element x y z (fractional)
In 0.000 0.000 0.000
In 0.500 0.500 0.000
Hg 0.177 0.323 0.000
Hg 0.323 0.823 0.000
Hg 0.677 0.177 0.000
Hg 0.823 0.677 0.000
Ge 0.119 0.619 0.500
Ge 0.381 0.119 0.500
Ge 0.619 0.881 0.500
Ge 0.881 0.381 0.500

---

9.
Here is a relaxed structure of InHg3Ge from Alexandria via LeMat-Bulk. Energies are from GGA-PBE.

Summary:
Excess energy over the best structure of this formula in the dataset = 0.000 eV/atom
SG = No. 221

abc: 5.404 5.404 5.404
angles: 90.00 90.00 90.00
Element x y z (fractional)
In 0.000 0.000 0.000
Hg 0.000 0.500 0.500
Hg 0.500 0.000 0.500
Hg 0.500 0.500 0.000
Ge 0.500 0.500 0.500

---

10.
Here is a relaxed structure of InHg2Ge from Alexandria via LeMat-Bulk. Energies are from GGA-PBE.

Summary:
DFT total energy = -0.067 Ha/atom
SG = No. 123

abc: 3.651 3.651 7.249
angles: 90.00 90.00 90.00
Element x y z (fractional)
In 0.000 0.000 0.000
Hg 0.500 0.500 0.263
Hg 0.500 0.500 0.737
Ge 0.000 0.000 0.500

---

11.
Here is a relaxed structure of InHgGe2 from Alexandria via LeMat-Bulk. Energies are from GGA-PBE.

Summary:
Excess energy over the best structure of this formula in the dataset = 0.000 eV/atom
SG = No. 122

abc: 11.288 11.288 11.288
angles: 158.86 158.86 30.07
Element x y z (fractional)
In 0.000 0.000 0.000
In 0.750 0.250 0.500
Hg 0.250 0.750 0.500
Hg 0.500 0.500 0.000
Ge 0.132 0.625 0.007
Ge 0.375 0.382 0.507
Ge 0.618 0.125 0.993
Ge 0.875 0.868 0.493

---

12.
Here is a relaxed structure of In3HgGe from Alexandria via LeMat-Bulk. Energies are from GGA-PBE.

Summary:
Excess energy over the best structure of this formula in the dataset = 0.281 eV/atom
SG = No. 221

abc: 5.500 5.500 5.500
angles: 90.00 90.00 90.00
Element x y z (fractional)
In 0.000 0.000 0.500
In 0.000 0.500 0.000
In 0.500 0.000 0.000
Hg 0.000 0.000 0.000
Ge 0.500 0.500 0.500

---

13.
Here is a relaxed structure of InHg2Ge2 from Alexandria via LeMat-Bulk. Energies are from GGA-PBE.

Summary:
Excess energy over the best structure of this formula in the dataset = 0.000 eV/atom
SG = No. 127

abc: 7.510 7.510 4.279
angles: 90.00 90.00 90.00
Element x y z (fractional)
In 0.000 0.000 0.000
In 0.500 0.500 0.000
Hg 0.182 0.318 0.500
Hg 0.318 0.818 0.500
Hg 0.682 0.182 0.500
Hg 0.818 0.682 0.500
Ge 0.123 0.623 0.000
Ge 0.377 0.123 0.000
Ge 0.623 0.877 0.000
Ge 0.877 0.377 0.000

---

14.
Here is a relaxed structure of InHgGe3 from Alexandria via LeMat-Bulk. Energies are from GGA-PBE.

Summary:
Excess energy over the best structure of this formula in the dataset = 0.000 eV/atom
SG = No. 221

abc: 5.253 5.253 5.253
angles: 90.00 90.00 90.00
Element x y z (fractional)
In 0.000 0.000 0.000
Hg 0.500 0.500 0.500
Ge 0.000 0.500 0.500
Ge 0.500 0.000 0.500
Ge 0.500 0.500 0.000

---

15.
Here is a relaxed structure of In3HgGe from Alexandria via LeMat-Bulk. Energies are from GGA-PBE.

Summary:
Excess energy over the best structure of this formula in the dataset = 0.000 eV/atom
SG = No. 221

abc: 5.448 5.448 5.448
angles: 90.00 90.00 90.00
Element x y z (fractional)
In 0.000 0.000 0.500
In 0.000 0.500 0.000
In 0.500 0.000 0.000
Hg 0.500 0.500 0.500
Ge 0.000 0.000 0.000

---

16.
Here is a relaxed structure of In2Hg2Ge from Alexandria via LeMat-Bulk. Energies are from GGA-PBE.

Summary:
Excess energy over the best structure of this formula in the dataset = 0.000 eV/atom
SG = No. 127

abc: 7.708 7.708 4.408
angles: 90.00 90.00 90.00
Element x y z (fractional)
In 0.152 0.348 0.000
In 0.348 0.848 0.000
In 0.652 0.152 0.000
In 0.848 0.652 0.000
Hg 0.154 0.654 0.500
Hg 0.346 0.154 0.500
Hg 0.654 0.846 0.500
Hg 0.846 0.346 0.500
Ge 0.000 0.000 0.000
Ge 0.500 0.500 0.000

---

17.
Here is a relaxed structure of In2HgGeIr from Alexandria via LeMat-Bulk. Energies are from GGA-PBE.

Summary:
DFT total energy = -0.143 Ha/atom
SG = No. 123

abc: 5.268 5.268 4.700
angles: 90.00 90.00 90.00
Element x y z (fractional)
In 0.000 0.500 0.000
In 0.500 0.000 0.000
Hg 0.000 0.000 0.500
Ge 0.500 0.500 0.500
Ir 0.500 0.500 0.000

---

18.
Here is a relaxed structure of MnInHgGe2 from Alexandria via LeMat-Bulk. Energies are from GGA-PBE.

Summary:
DFT total energy = -0.154 Ha/atom
SG = No. 123

abc: 4.600 4.600 5.176
angles: 90.00 90.00 90.00
Element x y z (fractional)
Mn 0.000 0.000 0.000
In 0.000 0.000 0.500
Hg 0.500 0.500 0.500
Ge 0.000 0.500 0.000
Ge 0.500 0.000 0.000

---

19.
Here is a relaxed structure of InHgGe2Mo from Alexandria via LeMat-Bulk. Energies are from GGA-PBE.

Summary:
DFT total energy = -0.123 Ha/atom
SG = No. 123

abc: 5.113 5.113 5.421
angles: 90.00 90.00 90.00
Element x y z (fractional)
In 0.000 0.000 0.000
Hg 0.500 0.500 0.500
Ge 0.000 0.500 0.500
Ge 0.500 0.000 0.500
Mo 0.500 0.500 0.000

---

20.
Here is a relaxed structure of InHgGeN2 from Alexandria via LeMat-Bulk. Energies are from GGA-PBE.

Summary:
E_form (uncorrected) = 1.524 eV per atom
SG = No. 123

abc: 4.219 4.219 5.884
angles: 90.00 90.00 90.00
Element x y z (fractional)
In 0.000 0.000 0.000
Hg 0.000 0.000 0.500
Ge 0.500 0.500 0.500
N 0.000 0.500 0.000
N 0.500 0.000 0.000